No. 1
# Pm12Pr3Mg

A geometry-optimized Pm12Pr3Mg structure (PBE, Alexandria via LeMat-Bulk).

Lattice parameters (Å, degrees): 5.141 5.141 20.622 90.00 90.00 90.00
Sites, in units of the cell vectors:
1 Pm 0.500 0.000 0.627
2 Pm 0.500 0.500 0.000
3 Pm 0.500 0.500 0.755
4 Pm 0.000 0.500 0.627
5 Pm 0.500 0.500 0.245
6 Pm 0.500 0.500 0.500
7 Pm 0.500 0.000 0.879
8 Pm 0.000 0.500 0.373
9 Pm 0.500 0.000 0.121
10 Pm 0.000 0.500 0.121
11 Pm 0.000 0.500 0.879
12 Pm 0.500 0.000 0.373
13 Mg 0.000 0.000 0.000
14 Pr 0.000 0.000 0.246
15 Pr 0.000 0.000 0.500
16 Pr 0.000 0.000 0.754

Results
- symmetry = P4/mmm
- uncorrected energy (eV/atom) = -4.544
- energy relative to the elements (eV/atom) = 0.015

=====

No. 2
# Pm8Pr2Mg

A geometry-optimized Pm8Pr2Mg structure (PBE, Alexandria via LeMat-Bulk).

Lattice parameters (Å, degrees): 5.678 7.803 9.861 113.31 106.69 90.00
Sites, in units of the cell vectors:
1 Pm 0.634 0.853 0.268
2 Pm 0.634 0.414 0.268
3 Pm 0.000 0.735 0.000
4 Pm 0.827 0.827 0.653
5 Pm 0.173 0.173 0.347
6 Pm 0.000 0.265 0.000
7 Pm 0.366 0.147 0.732
8 Pm 0.366 0.586 0.732
9 Mg 0.500 0.000 0.000
10 Pr 0.805 0.305 0.610
11 Pr 0.195 0.695 0.390

Results
- symmetry = Immm
- uncorrected energy (eV/atom) = -4.366
- polymorph energy (0 for the lowest one) (eV/atom) = 0.000
- energy relative to the elements (eV/atom) = 0.103

=====

No. 3
# Pm4Pr7Mg

A geometry-optimized Pm4Pr7Mg structure (PBE, Alexandria via LeMat-Bulk).

Lattice parameters (Å, degrees): 3.685 3.685 35.616 90.00 90.00 120.00
Sites, in units of the cell vectors:
1 Mg 0.000 0.000 0.500
2 Pm 0.667 0.333 0.085
3 Pm 0.667 0.333 0.339
4 Pm 0.333 0.667 0.915
5 Pm 0.333 0.667 0.661
6 Pr 0.333 0.667 0.169
7 Pr 0.000 0.000 0.745
8 Pr 0.000 0.000 0.000
9 Pr 0.333 0.667 0.423
10 Pr 0.667 0.333 0.577
11 Pr 0.000 0.000 0.255
12 Pr 0.667 0.333 0.831

Results
- symmetry = P-3m1
- uncorrected energy (eV/atom) = -4.490
- polymorph energy (0 for the lowest one) (eV/atom) = 0.000
- energy relative to the elements (eV/atom) = 0.014

=====

No. 4
# Pm2Pr5Mg

A geometry-optimized Pm2Pr5Mg structure (PBE, Alexandria via LeMat-Bulk).

Lattice parameters (Å, degrees): 7.282 7.282 7.256 120.12 120.12 90.00
Sites, in units of the cell vectors:
1 Pr 0.722 0.722 0.944
2 Pr 0.222 0.722 0.944
3 Pr 0.722 0.222 0.944
4 Pr 0.722 0.722 0.444
5 Pr 0.222 0.222 0.944
6 Mg 0.222 0.222 0.444
7 Pm 0.722 0.222 0.444
8 Pm 0.222 0.722 0.444

Results
- symmetry = I4/mmm
- uncorrected energy (eV/atom) = -4.380
- polymorph energy (0 for the lowest one) (eV/atom) = 0.000
- energy relative to the elements (eV/atom) = -0.006

=====

No. 5
# PmPr3Mg4

A geometry-optimized PmPr3Mg4 structure (PBE, Alexandria via LeMat-Bulk).

Lattice parameters (Å, degrees): 3.915 5.506 11.016 90.00 90.00 90.00
Sites, in units of the cell vectors:
1 Pr 0.500 0.500 0.500
2 Pr 0.500 0.000 0.751
3 Pr 0.500 0.000 0.249
4 Pm 0.500 0.500 0.000
5 Mg 0.000 0.500 0.752
6 Mg 0.000 0.000 0.000
7 Mg 0.000 0.000 0.500
8 Mg 0.000 0.500 0.248

Results
- symmetry = Pmmm
- uncorrected energy (eV/atom) = -3.299
- energy relative to the elements (eV/atom) = -0.116

=====

No. 6
# PmPrMg

A geometry-optimized PmPrMg structure (PBE, Alexandria via LeMat-Bulk).

Lattice parameters (Å, degrees): 5.510 3.474 10.481 70.88 90.00 89.99
Sites, in units of the cell vectors:
1 Mg 0.978 0.720 0.084
2 Mg 0.478 0.563 0.245
3 Pr 0.476 0.223 0.581
4 Pr 0.976 0.062 0.748
5 Pm 0.977 0.910 0.395
6 Pm 0.477 0.374 0.934

Results
- symmetry = P2_1
- uncorrected energy (eV/atom) = -3.696
- polymorph energy (0 for the lowest one) (eV/atom) = 0.069
- energy relative to the elements (eV/atom) = 0.013

=====

> Which of these has the lowest energy relative to the elements?

PmPr3Mg4